Entry 1:
VASP calculation (PBE) on crystalline BaTaCl2 at its relaxed geometry.

The total magnetization comes out at 0.44 μB per formula unit. Its formation energy (no corrections) is -0.43 eV per atom. For the energy above the most stable polymorph in this dataset, the calculation gives 62 meV per atom. The density of states at the Fermi level is 0.652 states/eV per atom.

The structure belongs to space group P4mm (No. 99); the cell edges are 3.4877, 3.4877 and 8.9043 Å and the angles 90.00°, 90.00° and 90.00°. The asymmetric unit holds Ba at (0.0000, 0.0000, 0.0000), Ta at (0.5000, 0.5000, 0.6820), Cl at (0.0000, 0.0000, 0.5685) and Cl at (0.5000, 0.5000, 0.2077).



Entry 2:
VASP calculation (PBE) on crystalline Ba2TaCl at its relaxed geometry.

The total magnetization comes out at 5.75 μB per formula unit. Its formation energy (no corrections) is 0.36 eV per atom. For the energy above the most stable polymorph in this dataset, the calculation gives 406 meV per atom. The density of states at the Fermi level is 0.787 states/eV per atom.

The structure belongs to space group Fm-3m (No. 225); the cell edges are 8.3864, 8.3864 and 8.3864 Å and the angles 90.00°, 90.00° and 90.00°. The asymmetric unit holds Ba at (0.2500, 0.2500, 0.2500), Ta at (0.0000, 0.0000, 0.0000) and Cl at (0.0000, 0.0000, 0.5000).